Entry 1:
Ac2Cd2Pb: optimized geometry, PBE.

## Properties
Energy above the lowest structure with this stoichiometry   0.0000 eV/atom
Space-group type   C2/m

abc: 5.206 6.692 10.879
angles: 109.96 90.00 112.89
Fractional positions:
Pb  0.734  0.469  0.717
Cd  0.904  0.807  0.370
Ac  0.334  0.668  0.952
Ac  0.666  0.332  0.048
Cd  0.999  0.997  0.138
Cd  0.001  0.003  0.862
Ac  0.593  0.187  0.371
Ac  0.407  0.813  0.629
Pb  0.266  0.531  0.283
Cd  0.096  0.193  0.630

Entry 2:
Ac12CdPb6: optimized geometry, PBE.

## Properties
E_tot   -4.028 eV/atom
Space-group type   R-3

abc: 9.704 9.704 9.704
angles: 100.77 100.77 100.77
Fractional positions:
Pb  0.682  0.873  0.372
Ac  0.554  0.189  0.414
Pb  0.127  0.628  0.318
Ac  0.446  0.811  0.586
Ac  0.043  0.673  0.944
Cd  0.000  0.000  0.000
Ac  0.327  0.056  0.957
Ac  0.414  0.554  0.189
Ac  0.957  0.327  0.056
Ac  0.811  0.586  0.446
Ac  0.056  0.957  0.327
Ac  0.673  0.944  0.043
Ac  0.586  0.446  0.811
Pb  0.628  0.318  0.127
Pb  0.318  0.127  0.628
Pb  0.372  0.682  0.873
Pb  0.873  0.372  0.682
Ac  0.944  0.043  0.673
Ac  0.189  0.414  0.554

Entry 3:
Ac3CdPb2: optimized geometry, PBE.

## Properties
Energy above the lowest structure with this stoichiometry   0.0000 eV/atom
Space-group type   Pnma

abc: 5.005 13.093 13.466
angles: 90.00 90.00 90.00
Fractional positions:
Ac  0.250  0.371  0.046
Ac  0.750  0.196  0.289
Cd  0.750  0.633  0.362
Pb  0.250  0.984  0.317
Ac  0.750  0.629  0.954
Ac  0.250  0.804  0.711
Ac  0.250  0.066  0.866
Pb  0.250  0.678  0.490
Ac  0.750  0.934  0.134
Pb  0.750  0.016  0.683
Pb  0.250  0.822  0.990
Ac  0.250  0.696  0.211
Pb  0.750  0.178  0.010
Pb  0.250  0.516  0.817
Pb  0.750  0.484  0.183
Pb  0.750  0.322  0.510
Cd  0.750  0.867  0.862
Ac  0.750  0.566  0.634
Ac  0.750  0.304  0.789
Ac  0.750  0.871  0.454
Ac  0.250  0.129  0.546
Cd  0.250  0.133  0.138
Ac  0.250  0.434  0.366
Cd  0.250  0.367  0.638

Entry 4:
Ac3Cd2Pb: optimized geometry, PBE.

## Properties
Energy above the lowest structure with this stoichiometry   0.0000 eV/atom
Space-group type   Cmmm

abc: 4.104 5.795 9.223
angles: 108.31 90.00 90.00
Fractional positions:
Cd  0.000  0.672  0.344
Ac  0.500  0.832  0.665
Ac  0.500  0.168  0.335
Ac  0.500  0.500  0.000
Cd  0.000  0.328  0.656
Pb  0.000  0.000  0.000

Entry 5:
AcCd17Pb: optimized geometry, PBE.

## Properties
E_tot   -1.311 eV/atom
Space-group type   R3m

abc: 7.789 7.789 7.789
angles: 82.41 82.41 82.41
Fractional positions:
Cd  0.160  0.645  0.645
Cd  0.002  0.296  0.690
Cd  0.296  0.002  0.690
Cd  0.503  0.986  0.986
Pb  0.384  0.384  0.384
Cd  0.849  0.348  0.348
Cd  0.645  0.645  0.160
Ac  0.660  0.660  0.660
Cd  0.904  0.904  0.904
Cd  0.296  0.690  0.002
Cd  0.690  0.296  0.002
Cd  0.348  0.348  0.849
Cd  0.986  0.503  0.986
Cd  0.690  0.002  0.296
Cd  0.986  0.986  0.503
Cd  0.348  0.849  0.348
Cd  0.645  0.160  0.645
Cd  0.002  0.690  0.296
Cd  0.107  0.107  0.107

Entry 6:
Ac3Cd2Pb4: optimized geometry, PBE.

## Properties
E_tot   -3.620 eV/atom
Space-group type   C2/m

abc: 5.041 6.913 10.058
angles: 112.39 90.00 111.39
Fractional positions:
Cd  0.320  0.639  0.656
Pb  0.075  0.151  0.392
Ac  0.000  0.000  0.000
Pb  0.299  0.599  0.943
Ac  0.637  0.274  0.688
Ac  0.363  0.726  0.312
Cd  0.680  0.361  0.344
Pb  0.925  0.849  0.608
Pb  0.701  0.401  0.057

no.,spin magnetization (μB/f.u.)
1,0.0
2,0.0
3,0.0
4,0.0
5,0.0
6,0.0